VASP calculation (PBE) on a geometry-optimized YBi2Cl structure.

Cell and atoms, written as CIF:
```
data_YBi2Cl
_chemical_formula_sum 'Y2 Bi4 Cl2'
_symmetry_space_group_name_H-M 'P 1'
_symmetry_Int_Tables_number 1
_cell_length_a 4.5425
_cell_length_b 4.5425
_cell_length_c 12.3159
_cell_angle_alpha 79.37
_cell_angle_beta 79.37
_cell_angle_gamma 90.00
loop_
_symmetry_equiv_pos_as_xyz
'x,y,z'
loop_
_atom_site_label
_atom_site_type_symbol
_atom_site_fract_x
_atom_site_fract_y
_atom_site_fract_z
Y1 Y 0.0000 0.0000 0.0000
Y2 Y 0.7500 0.2500 0.5000
Bi1 Bi 0.6539 0.1250 0.2500
Bi2 Bi 0.0961 0.6250 0.2500
Bi3 Bi 0.3750 0.3461 0.7500
Bi4 Bi 0.8750 0.9039 0.7500
Cl1 Cl 0.5000 0.5000 0.0000
Cl2 Cl 0.2500 0.7500 0.5000
```

Results
distance to the lowest polymorph of the same formula	0.000	eV/atom
space group	I-42d, No. 122
energy relative to the elements, uncorrected	-0.569	eV/atom

VASP calculation (PBE) on a geometry-optimized Li3CuH4 structure.

Cell and atoms, written as CIF:
```
data_Li3CuH4
_chemical_formula_sum 'Li6 Cu2 H8'
_symmetry_space_group_name_H-M 'P 1'
_symmetry_Int_Tables_number 1
_cell_length_a 4.7046
_cell_length_b 5.1760
_cell_length_c 5.9791
_cell_angle_alpha 90.00
_cell_angle_beta 90.00
_cell_angle_gamma 90.00
loop_
_symmetry_equiv_pos_as_xyz
'x,y,z'
loop_
_atom_site_label
_atom_site_type_symbol
_atom_site_fract_x
_atom_site_fract_y
_atom_site_fract_z
Li1 Li 0.5114 0.8645 0.0000
Li2 Li 0.0095 0.6751 0.2471
Li3 Li 0.5095 0.3249 0.2529
Li4 Li 0.0114 0.1355 0.5000
Li5 Li 0.5095 0.3249 0.7471
Li6 Li 0.0095 0.6751 0.7529
Cu1 Cu 0.0079 0.1847 0.0000
Cu2 Cu 0.5079 0.8153 0.5000
H1 H 0.1027 0.8768 0.0000
H2 H 0.6594 0.1906 0.0000
H3 H 0.1074 0.3246 0.2341
H4 H 0.6074 0.6754 0.2659
H5 H 0.1594 0.8094 0.5000
H6 H 0.6027 0.1232 0.5000
H7 H 0.6074 0.6754 0.7341
H8 H 0.1074 0.3246 0.7659
```

Results
space group	Pmn2_1, No. 31
total DFT energy (no corrections)	-3.221	eV/atom

VASP calculation (PBE) on a geometry-optimized AcCePmEr structure.

Cell and atoms, written as CIF:
```
data_AcCePmEr
_chemical_formula_sum 'Ac1 Ce1 Pm1 Er1'
_symmetry_space_group_name_H-M 'P 1'
_symmetry_Int_Tables_number 1
_cell_length_a 5.8617
_cell_length_b 5.8617
_cell_length_c 5.8617
_cell_angle_alpha 60.00
_cell_angle_beta 60.00
_cell_angle_gamma 60.00
loop_
_symmetry_equiv_pos_as_xyz
'x,y,z'
loop_
_atom_site_label
_atom_site_type_symbol
_atom_site_fract_x
_atom_site_fract_y
_atom_site_fract_z
Ac1 Ac 0.0000 0.0000 0.0000
Pm1 Pm 0.5000 0.5000 0.5000
Ce1 Ce 0.2500 0.2500 0.2500
Er1 Er 0.7500 0.7500 0.7500
```

Results
space group	F-43m, No. 216
total DFT energy (no corrections)	-4.614	eV/atom

VASP calculation (PBE) on a geometry-optimized TaCo2Ni structure.

Cell and atoms, written as CIF:
```
data_TaCo2Ni
_chemical_formula_sum 'Ta2 Co4 Ni2'
_symmetry_space_group_name_H-M 'P 1'
_symmetry_Int_Tables_number 1
_cell_length_a 3.5714
_cell_length_b 3.5714
_cell_length_c 8.8003
_cell_angle_alpha 78.29
_cell_angle_beta 78.29
_cell_angle_gamma 90.00
loop_
_symmetry_equiv_pos_as_xyz
'x,y,z'
loop_
_atom_site_label
_atom_site_type_symbol
_atom_site_fract_x
_atom_site_fract_y
_atom_site_fract_z
Ni1 Ni 0.5000 0.5000 0.0000
Ni2 Ni 0.2500 0.7500 0.5000
Co1 Co 0.5781 0.1250 0.2500
Co2 Co 0.1719 0.6250 0.2500
Co3 Co 0.3750 0.4219 0.7500
Co4 Co 0.8750 0.8281 0.7500
Ta1 Ta 0.0000 0.0000 0.0000
Ta2 Ta 0.7500 0.2500 0.5000
```

Results
distance to the lowest polymorph of the same formula	0.570	eV/atom
space group	I-42d, No. 122

VASP calculation (PBE) on a geometry-optimized Hf6Zr3Tl2 structure.

Cell and atoms, written as CIF:
```
data_Hf6Zr3Tl2
_chemical_formula_sum 'Hf6 Zr3 Tl2'
_symmetry_space_group_name_H-M 'P 1'
_symmetry_Int_Tables_number 1
_cell_length_a 4.8964
_cell_length_b 8.0638
_cell_length_c 8.0638
_cell_angle_alpha 120.00
_cell_angle_beta 90.00
_cell_angle_gamma 90.00
loop_
_symmetry_equiv_pos_as_xyz
'x,y,z'
loop_
_atom_site_label
_atom_site_type_symbol
_atom_site_fract_x
_atom_site_fract_y
_atom_site_fract_z
Hf1 Hf 0.5000 0.2078 0.0000
Hf2 Hf 0.5000 0.7922 0.7922
Hf3 Hf 0.0000 0.7747 0.0000
Hf4 Hf 0.0000 0.0000 0.7747
Hf5 Hf 0.5000 0.0000 0.2078
Hf6 Hf 0.0000 0.2253 0.2253
Zr1 Zr 0.5000 0.5614 0.0000
Zr2 Zr 0.5000 0.0000 0.5614
Zr3 Zr 0.5000 0.4386 0.4386
Tl1 Tl 0.0000 0.6667 0.3333
Tl2 Tl 0.0000 0.3333 0.6667
```

Results
space group	P-62m, No. 189
total DFT energy (no corrections)	-7.706	eV/atom

VASP calculation (PBE) on a geometry-optimized Ac2NdSn structure.

Cell and atoms, written as CIF:
```
data_Ac2NdSn
_chemical_formula_sum 'Ac2 Nd1 Sn1'
_symmetry_space_group_name_H-M 'P 1'
_symmetry_Int_Tables_number 1
_cell_length_a 4.4628
_cell_length_b 4.4628
_cell_length_c 7.3868
_cell_angle_alpha 90.00
_cell_angle_beta 90.00
_cell_angle_gamma 90.00
loop_
_symmetry_equiv_pos_as_xyz
'x,y,z'
loop_
_atom_site_label
_atom_site_type_symbol
_atom_site_fract_x
_atom_site_fract_y
_atom_site_fract_z
Ac1 Ac 0.0000 0.0000 0.7712
Ac2 Ac 0.0000 0.0000 0.2288
Nd1 Nd 0.5000 0.5000 0.5000
Sn1 Sn 0.5000 0.5000 0.0000
```

Results
distance to the lowest polymorph of the same formula	0.065	eV/atom
space group	P4/mmm, No. 123